Material: Pm2AgSn4Au3
Method: DFT, PBE-GGA
State: optimized geometry

```
Pm2AgSn4Au3
1.0
-3.1477 -1.6052 2.9079
-2.1361 -2.0896 -3.4657
6.4653 -9.5100 1.7489
Sn Pm Au Ag
4 2 3 1
direct
0.0000 0.5000 0.3676
0.5000 0.5000 0.0000
0.5000 0.0000 0.6324
0.0000 0.0000 0.0000
0.5000 0.0000 0.2678
0.0000 0.5000 0.7322
0.0000 0.5000 0.1419
0.5000 0.0000 0.8581
0.0000 0.0000 0.5000
0.5000 0.5000 0.5000
```

Computed properties:
The density of states at the Fermi level comes out at 3.98 states/eV/f.u. The total magnetization comes out at 0.0000 μB per atom. As for the space-group type: P-4m2, No. 115. For the energy of formation from the pure elements, the calculation gives -47 kJ/mol of atoms.

=====

Material: SrPmAgAu
Method: DFT, PBE-GGA
State: optimized geometry

```
SrPmAgAu
1.0
5.3336 0.0000 0.0000
2.6668 4.6191 0.0000
2.6668 1.5397 4.3549
Pm Sr Ag Au
1 1 1 1
direct
0.5000 0.5000 0.5000
0.0000 0.0000 0.0000
0.7500 0.7500 0.7500
0.2500 0.2500 0.2500
```

Computed properties:
The density of states at the Fermi level comes out at 3.08 states/eV/f.u. The total magnetization comes out at 0.0000 μB per atom. As for the space-group type: F-43m, No. 216. The calculation puts the offset from the most stable computed form at 0.023 eV per atom. For the energy of formation from the pure elements, the calculation gives -46 kJ/mol of atoms.

=====

Material: SrPmAgAu
Method: DFT, PBE-GGA
State: optimized geometry

```
SrPmAgAu
1.0
-0.6529 3.9531 0.1411
-3.3301 -0.6741 3.4755
4.4364 -1.4420 3.9711
Pm Ag Sr Au
1 1 1 1
direct
0.8657 0.5000 0.7314
0.5773 0.5000 0.1545
0.1411 0.0000 0.2822
0.4160 0.0000 0.8319
```

Computed properties:
The density of states at the Fermi level comes out at 2.57 states/eV/f.u. The total magnetization comes out at 0.0000 μB per atom. As for the space-group type: Amm2, No. 38. The calculation puts the offset from the most stable computed form at 0.000 eV per atom. For the energy of formation from the pure elements, the calculation gives -49 kJ/mol of atoms.

=====

Material: TbPmAgAu
Method: DFT, PBE-GGA
State: optimized geometry

```
TbPmAgAu
1.0
-2.7360 0.0374 -2.4107
-2.3886 -0.5382 2.7025
-0.6683 7.3459 0.8724
Ag Au Tb Pm
1 1 1 1
direct
0.0000 0.0000 0.8711
0.0000 0.0000 0.3416
0.5000 0.5000 0.1132
0.5000 0.5000 0.6020
```

Computed properties:
The density of states at the Fermi level comes out at 2.14 states/eV/f.u. The total magnetization comes out at 0.0002 μB per atom. As for the space-group type: P4mm, No. 99. The calculation puts the offset from the most stable computed form at 0.000 eV per atom. For the energy of formation from the pure elements, the calculation gives -54 kJ/mol of atoms.

=====

Material: TbPmAgAu
Method: DFT, PBE-GGA
State: optimized geometry

```
TbPmAgAu
1.0
-3.3485 0.7866 -3.8876
0.9422 -2.0233 -4.6865
-2.9003 -3.9278 -1.7621
Ag Au Pm Tb
1 1 1 1
direct
0.2500 0.2500 0.2500
0.7500 0.7500 0.7500
0.5000 0.5000 0.5000
0.0000 0.0000 0.0000
```

Computed properties:
The density of states at the Fermi level comes out at 3.46 states/eV/f.u. The total magnetization comes out at 0.0000 μB per atom. As for the space-group type: F-43m, No. 216. The calculation puts the offset from the most stable computed form at 0.013 eV per atom. For the energy of formation from the pure elements, the calculation gives -53 kJ/mol of atoms.

=====

Material: PmAgTe3Au
Method: DFT, PBE-GGA
State: optimized geometry

```
PmAgTe3Au
1.0
-2.4517 1.0928 3.3807
-0.6339 -7.9527 2.1109
7.8146 1.9076 5.0506
Te Pm Ag Au
6 2 2 2
direct
0.7500 0.4003 0.1444
0.2500 0.5997 0.8556
0.7500 0.2853 0.5094
0.7500 0.8983 0.1216
0.2500 0.1017 0.8784
0.2500 0.7147 0.4906
0.7500 0.8379 0.7482
0.2500 0.1621 0.2518
0.7500 0.3557 0.8306
0.2500 0.6443 0.1694
0.2500 0.0824 0.5818
0.7500 0.9176 0.4182
```

Computed properties:
The density of states at the Fermi level comes out at 3.93 states/eV/f.u. The total magnetization comes out at 0.0000 μB per atom. The energy relative to the elements, uncorrected comes out at -0.54 eV per atom. As for the space-group type: P2_1/m, No. 11.

=====

Material: Pm4TlAgAu2
Method: DFT, PBE-GGA
State: optimized geometry

```
Pm4TlAgAu2
1.0
5.2983 0.0000 0.0000
2.6492 4.5885 0.0000
2.6492 1.5295 8.6544
Ag Pm Au Tl
1 4 2 1
direct
0.5000 0.5000 0.5000
0.1282 0.1282 0.6154
0.6209 0.6209 0.1372
0.8718 0.8718 0.3846
0.3791 0.3791 0.8628
0.7468 0.7468 0.7596
0.2532 0.2532 0.2404
0.0000 0.0000 0.0000
```

Computed properties:
The density of states at the Fermi level comes out at 6.15 states/eV/f.u. The total magnetization comes out at 0.0001 μB per atom. As for the space-group type: R-3m, No. 166. For the energy of formation from the pure elements, the calculation gives -52 kJ/mol of atoms.

=====

Material: PmTmAgAu
Method: DFT, PBE-GGA
State: optimized geometry

```
PmTmAgAu
1.0
-0.4905 -2.2465 -4.6068
-4.1799 -2.8133 -1.0603
-3.4938 1.7441 -3.3558
Ag Tm Au Pm
1 1 1 1
direct
0.2500 0.2500 0.2500
0.5000 0.5000 0.5000
0.7500 0.7500 0.7500
0.0000 0.0000 0.0000
```

Computed properties:
The density of states at the Fermi level comes out at 3.33 states/eV/f.u. The total magnetization comes out at 0.0000 μB per atom. As for the space-group type: F-43m, No. 216. The calculation puts the offset from the most stable computed form at 0.023 eV per atom. For the energy of formation from the pure elements, the calculation gives -54 kJ/mol of atoms.

=====

Material: PmTmAgAu
Method: DFT, PBE-GGA
State: optimized geometry

```
PmTmAgAu
1.0
-1.9872 -0.6450 -2.9266
2.5861 -2.1435 -1.2835
-3.1301 -5.8167 3.4073
Pm Au Tm Ag
1 1 1 1
direct
0.5000 0.5000 0.6021
0.0000 0.0000 0.3331
0.5000 0.5000 0.1135
0.0000 0.0000 0.8792
```

Computed properties:
The density of states at the Fermi level comes out at 1.88 states/eV/f.u. The total magnetization comes out at 0.0003 μB per atom. As for the space-group type: P4mm, No. 99. The calculation puts the offset from the most stable computed form at 0.000 eV per atom. For the energy of formation from the pure elements, the calculation gives -56 kJ/mol of atoms.

=====

Material: PmZn3AgAu
Method: DFT, PBE-GGA
State: optimized geometry

```
PmZn3AgAu
1.0
-5.5449 -0.1601 1.9595
1.8679 -2.7312 5.0627
-0.0837 7.3069 0.3601
Zn Pm Ag Au
6 2 2 2
direct
0.0000 0.7027 0.0000
0.5000 0.2973 0.0000
0.2500 0.1280 0.2560
0.7500 0.8720 0.7440
0.0000 0.2973 0.0000
0.5000 0.7027 0.0000
0.7500 0.3015 0.6031
0.2500 0.6985 0.3969
0.2500 0.9126 0.8251
0.7500 0.0874 0.1749
0.7500 0.6632 0.3263
0.2500 0.3368 0.6737
```

Computed properties:
The density of states at the Fermi level comes out at 2.57 states/eV/f.u. The total magnetization comes out at 0.0000 μB per atom. As for the space-group type: Cmcm, No. 63. For the energy of formation from the pure elements, the calculation gives -18 kJ/mol of atoms.

=====

Material: Pm2Zn4AgAu3
Method: DFT, PBE-GGA
State: optimized geometry

```
Pm2Zn4AgAu3
1.0
-2.0281 -2.9021 2.2174
-2.1124 -1.1370 -3.4201
8.3500 -7.7958 -2.5656
Zn Pm Au Ag
4 2 3 1
direct
0.0000 0.5000 0.3616
0.5000 0.0000 0.6384
0.5000 0.5000 0.0000
0.0000 0.0000 0.0000
0.0000 0.5000 0.7520
0.5000 0.0000 0.2480
0.0000 0.5000 0.1431
0.5000 0.0000 0.8569
0.0000 0.0000 0.5000
0.5000 0.5000 0.5000
```

Computed properties:
The density of states at the Fermi level comes out at 6.71 states/eV/f.u. The total magnetization comes out at 0.0000 μB per atom. As for the space-group type: P-4m2, No. 115. For the energy of formation from the pure elements, the calculation gives -44 kJ/mol of atoms.

=====

Material: Pm3Zn6AgAu2
Method: DFT, PBE-GGA
State: optimized geometry

```
Pm3Zn6AgAu2
1.0
5.5779 0.0000 0.0000
-2.7889 4.8306 0.0000
0.0000 0.0000 9.3142
Zn Pm Au Ag
6 3 2 1
direct
0.8264 0.6528 0.7338
0.1736 0.3472 0.2662
0.3472 0.1736 0.7338
0.8264 0.1736 0.7338
0.1736 0.8264 0.2662
0.6528 0.8264 0.2662
0.6667 0.3333 0.4003
0.3333 0.6667 0.5997
0.0000 0.0000 0.0000
0.3333 0.6667 0.0143
0.6667 0.3333 0.9857
0.0000 0.0000 0.5000
```

Computed properties:
The density of states at the Fermi level comes out at 7.17 states/eV/f.u. The total magnetization comes out at 0.0000 μB per atom. As for the space-group type: P-3m1, No. 164. For the energy of formation from the pure elements, the calculation gives -23 kJ/mol of atoms.

=====

Number 1: uncorrected energy -43.03 eV/cell, calculated volume 24.36 A^3/atom. Number 2: uncorrected energy -14.49 eV/cell, calculated volume 26.82 A^3/atom. Number 3: uncorrected energy -14.58 eV/cell, calculated volume 28.20 A^3/atom. Number 4: uncorrected energy -17.76 eV/cell, calculated volume 24.69 A^3/atom. Number 5: uncorrected energy -17.71 eV/cell, calculated volume 24.72 A^3/atom. Number 6: uncorrected energy -47.11 eV/cell, calculated volume 27.99 A^3/atom. Number 7: uncorrected energy -35.05 eV/cell, calculated volume 26.30 A^3/atom. Number 8: uncorrected energy -17.59 eV/cell, calculated volume 24.13 A^3/atom. Number 9: uncorrected energy -17.68 eV/cell, calculated volume 24.03 A^3/atom. Number 10: uncorrected energy -31.70 eV/cell, calculated volume 19.75 A^3/atom. Number 11: uncorrected energy -31.83 eV/cell, calculated volume 20.43 A^3/atom. Number 12: uncorrected energy -34.16 eV/cell, calculated volume 20.91 A^3/atom.